[1]
A plane-wave DFT calculation with PBE was carried out for NaCr2AsCl after structural relaxation.

Lattice parameters (Å, degrees): 5.3679 5.3679 4.4951 90.00 90.00 90.00
Space group P4/mmm (No. 123)
Asymmetric unit:
Na1 0.0000 0.0000 0.0000 (multiplicity 1)
Cr1 0.0000 0.5000 0.0000 (multiplicity 2)
As1 0.5000 0.5000 0.5000 (multiplicity 1)
Cl1 0.0000 0.0000 0.5000 (multiplicity 1)

Calculated values
The uncorrected formation energy comes out at 5.20 eV per formula unit. As for the density: 3.0 g/cm³. As for the volume: 25.904 Å³/atom. The calculation puts the total energy at -4.37 eV per atom.

[2]
A plane-wave DFT calculation with PBE was carried out for CaBeAs2 after structural relaxation.

Lattice parameters (Å, degrees): 3.9045 6.0410 6.9826 90.00 90.00 90.00
Space group Immm (No. 71)
Asymmetric unit:
Ca1 0.0000 0.0000 0.0000 (multiplicity 2)
Be1 0.0000 0.0000 0.5000 (multiplicity 2)
As1 0.0000 0.5000 0.1876 (multiplicity 4)

Calculated values
The calculation puts the energy of formation at -1.021 eV/f.u. As for the density: 4.0 g/cm³. As for the volume: 20.587 Å³/atom. The calculation puts the total energy at -4.01 eV per atom.